1.
VFeIr6: relaxed, GGA-PBE.

Values from the calculation:
raw total energy: -9.1190 eV per atom

abc: 3.8323 3.8323 7.6711
angles: 90.00 90.00 90.00
Last column: nearest neighbours and their distance in Å.
Sites, in units of the cell vectors:
V1 0.0000 0.0000 0.5000  12 Ir 2.70-2.71
Fe1 0.0000 0.0000 0.0000  12 Ir 2.71-2.72
Ir1 0.5000 0.5000 0.0000  4 Fe 2.71, 8 Ir 2.72
Ir2 0.5000 0.5000 0.5000  8 Ir 2.70, 4 V 2.71
Ir3 0.5000 0.0000 0.2525  8 Ir 2.70-2.72, 2 V 2.70, 2 Fe 2.72
Ir4 0.5000 0.0000 0.7475  8 Ir 2.70-2.72, 2 V 2.70, 2 Fe 2.72
Ir5 0.0000 0.5000 0.2525  8 Ir 2.70-2.72, 2 V 2.70, 2 Fe 2.72
Ir6 0.0000 0.5000 0.7475  8 Ir 2.70-2.72, 2 V 2.70, 2 Fe 2.72


2.
V6Fe5Ir: relaxed, GGA-PBE.

Values from the calculation:
raw total energy: -8.9860 eV per atom

abc: 4.1261 5.8339 7.1285
angles: 114.15 106.82 90.00
Last column: nearest neighbours and their distance in Å.
Sites, in units of the cell vectors:
Ir1 0.0000 0.0000 0.0000  8 V 2.57-2.59
Fe1 0.6633 0.1633 0.3267  8 V 2.48-2.55
Fe2 0.3325 0.3325 0.6649  8 V 2.48-2.51
Fe3 0.0000 0.5000 0.0000  8 V 2.48-2.55
Fe4 0.6675 0.6675 0.3351  8 V 2.48-2.51
Fe5 0.3367 0.8367 0.6733  8 V 2.48-2.55
V1 0.8282 0.5724 0.6564  7 Fe 2.48-2.55, 1 Ir 2.59
V2 0.8282 0.0840 0.6564  7 Fe 2.48-2.55, 1 Ir 2.59
V3 0.5000 0.7366 0.0000  6 Fe 2.48-2.53, 2 Ir 2.57, 1 V 2.76
V4 0.5000 0.2634 0.0000  6 Fe 2.48-2.53, 2 Ir 2.57, 1 V 2.76
V5 0.1718 0.9160 0.3436  7 Fe 2.48-2.55, 1 Ir 2.59
V6 0.1718 0.4276 0.3436  7 Fe 2.48-2.55, 1 Ir 2.59


3.
V2FeIr9: relaxed, GGA-PBE.

Values from the calculation:
raw total energy: -9.2166 eV per atom

abc: 3.8339 3.8339 11.5177
angles: 90.00 90.00 90.00
Last column: nearest neighbours and their distance in Å.
Sites, in units of the cell vectors:
V1 0.0000 0.0000 0.3301  12 Ir 2.67-2.74
V2 0.0000 0.0000 0.6699  12 Ir 2.67-2.74
Fe1 0.0000 0.0000 0.0000  12 Ir 2.71-2.73
Ir1 0.5000 0.5000 0.0000  4 Fe 2.71, 8 Ir 2.73
Ir2 0.5000 0.5000 0.3341  8 Ir 2.70-2.71, 4 V 2.71
Ir3 0.5000 0.5000 0.6659  8 Ir 2.70-2.71, 4 V 2.71
Ir4 0.5000 0.0000 0.1688  2 V 2.67, 8 Ir 2.70-2.73, 2 Fe 2.73
Ir5 0.5000 0.0000 0.5000  8 Ir 2.71, 4 V 2.74
Ir6 0.5000 0.0000 0.8312  2 V 2.67, 8 Ir 2.70-2.73, 2 Fe 2.73
Ir7 0.0000 0.5000 0.1688  2 V 2.67, 8 Ir 2.70-2.73, 2 Fe 2.73
Ir8 0.0000 0.5000 0.5000  8 Ir 2.71, 4 V 2.74
Ir9 0.0000 0.5000 0.8312  2 V 2.67, 8 Ir 2.70-2.73, 2 Fe 2.73


4.
V4Fe12Ir: relaxed, GGA-PBE.

Values from the calculation:
raw total energy: -8.4385 eV per atom

abc: 6.4748 6.4748 6.4748
angles: 109.47 109.47 109.47
Last column: nearest neighbours and their distance in Å.
Sites, in units of the cell vectors:
V1 0.0000 0.0000 0.5000  12 Fe 2.64-2.68
V2 0.5000 0.0000 0.0000  12 Fe 2.64-2.68
V3 0.5000 0.5000 0.5000  12 Fe 2.64-2.68
V4 0.0000 0.5000 0.0000  12 Fe 2.64-2.68
Fe1 0.0000 0.3130 0.3130  4 Fe 2.33, 1 Ir 2.34
Fe2 0.0000 0.6870 0.6870  4 Fe 2.33, 1 Ir 2.34
Fe3 0.6870 0.6870 0.0000  4 Fe 2.33, 1 Ir 2.34
Fe4 0.3130 0.3130 0.0000  4 Fe 2.33, 1 Ir 2.34
Fe5 0.3130 0.0000 0.3130  4 Fe 2.33, 1 Ir 2.34
Fe6 0.6870 0.0000 0.6870  4 Fe 2.33, 1 Ir 2.34
Fe7 0.5000 0.2500 0.7500  4 Fe 2.33
Fe8 0.5000 0.7500 0.2500  4 Fe 2.33
Fe9 0.7500 0.2500 0.5000  4 Fe 2.33
Fe10 0.2500 0.7500 0.5000  4 Fe 2.33
Fe11 0.7500 0.5000 0.2500  4 Fe 2.33
Fe12 0.2500 0.5000 0.7500  4 Fe 2.33
Ir1 0.0000 0.0000 0.0000  6 Fe 2.34


5.
V2FeIr4: relaxed, GGA-PBE.

Values from the calculation:
raw total energy: -9.0082 eV per atom

abc: 3.8127 5.1843 5.1843
angles: 99.63 90.00 90.00
Last column: nearest neighbours and their distance in Å.
Sites, in units of the cell vectors:
V1 0.0000 0.7275 0.2725  8 Ir 2.54-2.62, 2 Fe 2.62
V2 0.0000 0.2725 0.7275  8 Ir 2.54-2.62, 2 Fe 2.62
Fe1 0.5000 0.5000 0.5000  8 Ir 2.59-2.69, 4 V 2.62
Ir1 0.0000 0.7837 0.7837  4 V 2.60-2.62, 2 Fe 2.69, 5 Ir 2.76-2.89
Ir2 0.0000 0.2163 0.2163  4 V 2.60-2.62, 2 Fe 2.69, 5 Ir 2.76-2.89
Ir3 0.5000 0.0000 0.5000  4 V 2.54, 2 Fe 2.59, 4 Ir 2.76
Ir4 0.5000 0.5000 0.0000  4 V 2.54, 2 Fe 2.59, 4 Ir 2.76


6.
VFe3Ir: relaxed, GGA-PBE.

Values from the calculation:
excess energy over the best structure of this formula in the dataset: 0.00 eV/f.u.

abc: 4.1583 4.1583 4.1583
angles: 90.00 90.00 90.00
Last column: nearest neighbours and their distance in Å.
Sites, in units of the cell vectors:
Ir1 0.5000 0.5000 0.5000  12 Fe 2.94
Fe1 0.0000 0.5000 0.0000  2 V 2.08
Fe2 0.0000 0.0000 0.5000  2 V 2.08
Fe3 0.5000 0.0000 0.0000  2 V 2.08
V1 0.0000 0.0000 0.0000  6 Fe 2.08


7.
VFeIr2: relaxed, GGA-PBE.

Values from the calculation:
raw total energy: -8.9897 eV per atom

abc: 4.2709 4.2709 4.2709
angles: 60.00 60.00 60.00
Last column: nearest neighbours and their distance in Å.
Sites, in units of the cell vectors:
Ir1 0.2500 0.2500 0.2500  4 Fe 2.62, 4 V 2.62
Ir2 0.7500 0.7500 0.7500  4 Fe 2.62, 4 V 2.62
Fe1 0.5000 0.5000 0.5000  8 Ir 2.62
V1 0.0000 0.0000 0.0000  8 Ir 2.62


8.
VFe14Ir: relaxed, GGA-PBE.

Values from the calculation:
raw total energy: -8.5780 eV per atom

abc: 4.9913 4.9913 8.1239
angles: 90.00 90.00 109.78
Last column: nearest neighbours and their distance in Å.
Sites, in units of the cell vectors:
V1 0.1251 0.8749 0.5000  8 Fe 2.50-2.51
Fe1 0.1249 0.8751 0.0000  8 Fe 2.44-2.50
Fe2 0.6249 0.3751 0.0000  8 Fe 2.47-2.50
Fe3 0.1250 0.3750 0.5000  2 Ir 2.50, 2 V 2.50, 4 Fe 2.50
Fe4 0.1249 0.3751 0.0000  8 Fe 2.47-2.50
Fe5 0.6250 0.8750 0.5000  2 Ir 2.50, 2 V 2.50, 4 Fe 2.50
Fe6 0.6249 0.8751 0.0000  8 Fe 2.47-2.50
Fe7 0.3709 0.1209 0.7552  6 Fe 2.44-2.50, 1 V 2.51, 1 Ir 2.53
Fe8 0.3709 0.1209 0.2448  6 Fe 2.44-2.50, 1 V 2.51, 1 Ir 2.53
Fe9 0.8791 0.6291 0.7552  6 Fe 2.44-2.50, 1 V 2.51, 1 Ir 2.53
Fe10 0.8791 0.6291 0.2448  6 Fe 2.44-2.50, 1 V 2.51, 1 Ir 2.53
Fe11 0.3758 0.6242 0.7519  8 Fe 2.47-2.50
Fe12 0.3758 0.6242 0.2481  8 Fe 2.47-2.50
Fe13 0.8743 0.1257 0.7519  8 Fe 2.47-2.50
Fe14 0.8743 0.1257 0.2481  8 Fe 2.47-2.50
Ir1 0.6250 0.3750 0.5000  8 Fe 2.50-2.53


9.
V6FeIr2: relaxed, GGA-PBE.

Values from the calculation:
raw total energy: -8.8155 eV per atom

abc: 4.2252 5.8267 6.7714
angles: 115.48 108.19 90.00
Last column: nearest neighbours and their distance in Å.
Sites, in units of the cell vectors:
V1 0.1564 0.4123 0.3127  1 Fe 2.33, 3 Ir 2.50-2.55
V2 0.8436 0.0996 0.6873  1 Fe 2.33, 3 Ir 2.50-2.55
V3 0.8436 0.5877 0.6873  1 Fe 2.33, 3 Ir 2.50-2.55
V4 0.5000 0.2186 0.0000  2 Fe 2.47, 2 Ir 2.53, 1 V 2.55
V5 0.1564 0.9004 0.3127  1 Fe 2.33, 3 Ir 2.50-2.55
V6 0.5000 0.7814 0.0000  2 Fe 2.47, 2 Ir 2.53, 1 V 2.55
Fe1 0.0000 0.0000 0.0000  8 V 2.33-2.47
Ir1 0.6684 0.6684 0.3367  8 V 2.50-2.55
Ir2 0.3316 0.3316 0.6633  8 V 2.50-2.55


10.
V2FeIr2: relaxed, GGA-PBE.

Values from the calculation:
excess energy over the best structure of this formula in the dataset: 0.25 eV/f.u.

abc: 4.3614 2.7410 6.1785
angles: 90.00 110.67 90.00
Last column: nearest neighbours and their distance in Å.
Sites, in units of the cell vectors:
V1 0.1848 0.5000 0.3695  2 Fe 2.54, 6 Ir 2.64-2.68, 4 V 2.65-2.74
V2 0.8152 0.5000 0.6305  2 Fe 2.54, 6 Ir 2.64-2.68, 4 V 2.65-2.74
Fe1 0.0000 0.0000 0.0000  4 V 2.54, 4 Ir 2.59, 2 Fe 2.74
Ir1 0.3795 0.0000 0.7589  2 Fe 2.59, 6 V 2.64-2.68, 3 Ir 2.74-2.79
Ir2 0.6205 0.0000 0.2411  2 Fe 2.59, 6 V 2.64-2.68, 3 Ir 2.74-2.79


11.
VFeIr2: relaxed, GGA-PBE.

Values from the calculation:
raw total energy: -8.5377 eV per atom

abc: 3.7752 3.7752 8.8523
angles: 77.69 77.69 90.00
Last column: nearest neighbours and their distance in Å.
Sites, in units of the cell vectors:
Ir1 0.6338 0.1250 0.2500  2 Fe 2.48, 2 V 2.51, 4 Ir 2.62-2.72
Ir2 0.1162 0.6250 0.2500  2 Fe 2.48, 2 V 2.51, 4 Ir 2.62-2.72
Ir3 0.3750 0.3662 0.7500  2 Fe 2.48, 2 V 2.51, 4 Ir 2.62-2.72
Ir4 0.8750 0.8838 0.7500  2 Fe 2.48, 2 V 2.51, 4 Ir 2.62-2.72
Fe1 0.0000 0.0000 0.0000  4 Ir 2.48, 4 V 2.67
Fe2 0.7500 0.2500 0.5000  4 Ir 2.48, 4 V 2.67
V1 0.5000 0.5000 0.0000  4 Ir 2.51, 4 Fe 2.67
V2 0.2500 0.7500 0.5000  4 Ir 2.51, 4 Fe 2.67


12.
V2FeIr: relaxed, GGA-PBE.

Values from the calculation:
raw total energy: -9.1504 eV per atom

abc: 3.6445 3.7845 3.7845
angles: 90.00 90.00 90.00
Last column: nearest neighbours and their distance in Å.
Sites, in units of the cell vectors:
Ir1 0.5000 0.5000 0.5000  8 V 2.63, 4 Fe 2.68
Fe1 0.5000 0.0000 0.0000  8 V 2.63, 4 Ir 2.68
V1 0.0000 0.0000 0.5000  4 Fe 2.63, 4 Ir 2.63, 4 V 2.68
V2 0.0000 0.5000 0.0000  4 Fe 2.63, 4 Ir 2.63, 4 V 2.68